# 1
VASP calculation (SCAN) on a PBEsol-optimized structure of MnCoW2.

Lattice parameters (Å, degrees): 3.0833 3.0833 5.4635 90.00 90.00 90.00
Closest atoms and distances in Å follow each position.
Space group P4/mmm (No. 123)
Inequivalent atoms, fractional coordinates:
Mn1 0.0000 0.0000 0.0000 (multiplicity 1)  8 W 2.58, 2 Co 2.73
Co1 0.0000 0.0000 0.5000 (multiplicity 1)  8 W 2.57, 2 Mn 2.73
W1 0.5000 0.5000 0.2515 (multiplicity 2)  4 Co 2.57, 4 Mn 2.58, 2 W 2.72-2.75

DFT formation energy ... 0.207 eV/atom
Distance to the lowest polymorph of the same formula ... 31 meV per atom

# 2
VASP calculation (SCAN) on a PBEsol-optimized structure of LaSiAsP2.

Lattice parameters (Å, degrees): 5.2284 5.2284 5.4635 90.00 90.00 90.00
Closest atoms and distances in Å follow each position.
Space group P4/mmm (No. 123)
Inequivalent atoms, fractional coordinates:
La1 0.0000 0.0000 0.0000 (multiplicity 1)  4 P 2.61, 2 As 2.73
Si1 0.5000 0.5000 0.5000 (multiplicity 1)  4 As 3.70, 8 P 3.78
As1 0.0000 0.0000 0.5000 (multiplicity 1)  2 La 2.73
P1 0.0000 0.5000 0.0000 (multiplicity 2)  2 La 2.61

Total DFT energy (no corrections) ... -17.553 eV per atom

# 3
VASP calculation (SCAN) on a PBEsol-optimized structure of SbAs2Au.

Lattice parameters (Å, degrees): 11.7564 3.6467 4.3349 90.00 110.79 90.00
Closest atoms and distances in Å follow each position.
Space group C2/m (No. 12)
Inequivalent atoms, fractional coordinates:
Sb1 0.0000 0.0000 0.0000 (multiplicity 2)  4 Au 2.83, 2 As 2.90
As1 0.2375 0.5000 0.6815 (multiplicity 4)  2 As 2.49, 1 Au 2.62
Au1 0.0000 0.5000 0.5000 (multiplicity 2)  2 As 2.62, 4 Sb 2.83

Total DFT energy (no corrections) ... -36.775 eV per atom

# 4
VASP calculation (SCAN) on a PBEsol-optimized structure of PtRh2.

Lattice parameters (Å, degrees): 2.6953 14.0340 4.4553 90.00 90.00 90.00
Closest atoms and distances in Å follow each position.
Space group Cmcm (No. 63)
Inequivalent atoms, fractional coordinates:
Pt1 0.0000 0.2197 0.2500 (multiplicity 4)  6 Pt 2.70-2.74, 6 Rh 2.70-2.77
Rh1 0.0000 0.1080 0.7500 (multiplicity 4)  8 Rh 2.63-2.71, 4 Pt 2.72-2.77
Rh2 0.0000 0.4467 0.7500 (multiplicity 4)  10 Rh 2.63-2.71, 2 Pt 2.70

DFT formation energy ... 0.067 eV/atom
Distance to the lowest polymorph of the same formula ... 101 meV per atom

# 5
VASP calculation (SCAN) on a PBEsol-optimized structure of Li2TaSi.

Lattice parameters (Å, degrees): 2.8157 2.8157 7.8283 90.00 90.00 90.00
Closest atoms and distances in Å follow each position.
Space group P4mm (No. 99)
Inequivalent atoms, fractional coordinates:
Li1 0.0000 0.0000 0.0000 (multiplicity 1)  8 Li 2.82-2.92, 4 Ta 2.95
Li2 0.5000 0.5000 0.2720 (multiplicity 1)  4 Si 2.62, 8 Li 2.82-2.92
Ta1 0.5000 0.5000 0.7226 (multiplicity 1)  4 Si 2.70, 4 Ta 2.82, 4 Li 2.95
Si1 0.0000 0.0000 0.4904 (multiplicity 1)  4 Li 2.62, 4 Ta 2.70, 4 Si 2.82

Total DFT energy (no corrections) ... -20.330 eV per atom

# 6
VASP calculation (SCAN) on a PBEsol-optimized structure of CaGa2O4.

Lattice parameters (Å, degrees): 9.1078 2.9938 10.5671 90.00 90.00 90.00
Closest atoms and distances in Å follow each position.
Space group Pnma (No. 62)
Inequivalent atoms, fractional coordinates:
Ca1 0.2425 0.2500 0.1546 (multiplicity 4)  8 O 2.34-2.54
Ga1 0.0650 0.2500 0.3884 (multiplicity 4)  6 O 1.95-2.05
Ga2 0.0823 0.2500 0.8954 (multiplicity 4)  6 O 1.97-2.04
O1 0.0269 0.7500 0.7834 (multiplicity 4)  3 Ga 1.97-2.00
O2 0.0827 0.2500 0.5723 (multiplicity 4)  3 Ga 1.95-2.05
O3 0.1183 0.7500 0.0225 (multiplicity 4)  3 Ga 2.02-2.04
O4 0.2043 0.7500 0.3379 (multiplicity 4)  3 Ga 2.03-2.04

Distance to the lowest polymorph of the same formula ... 7 meV per atom

# 7
VASP calculation (SCAN) on a PBEsol-optimized structure of TaTi.

Lattice parameters (Å, degrees): 3.2214 4.5811 4.5986 90.00 90.00 90.00
Closest atoms and distances in Å follow each position.
Space group Cmmm (No. 65)
Inequivalent atoms, fractional coordinates:
Ta1 0.0000 0.0000 0.0000 (multiplicity 2)  4 Ta 2.80, 4 Ti 2.81
Ti1 0.0000 0.5000 0.5000 (multiplicity 2)  4 Ti 2.80, 4 Ta 2.81

DFT formation energy ... 0.063 eV/atom

# 8
VASP calculation (SCAN) on a PBEsol-optimized structure of FePRh2.

Lattice parameters (Å, degrees): 3.7940 3.7940 6.8669 90.00 90.00 90.00
Closest atoms and distances in Å follow each position.
Space group I4/mmm (No. 139)
Inequivalent atoms, fractional coordinates:
Fe1 0.0000 0.0000 0.0000 (multiplicity 2)  8 Rh 2.56, 4 P 2.68
P1 0.0000 0.0000 0.5000 (multiplicity 2)  8 Rh 2.56, 4 Fe 2.68
Rh1 0.0000 0.5000 0.2500 (multiplicity 4)  4 Fe 2.56, 4 P 2.56, 4 Rh 2.68

DFT formation energy ... -0.271 eV/atom

# 9
VASP calculation (SCAN) on a PBEsol-optimized structure of LiCaAg2.

Lattice parameters (Å, degrees): 4.6104 4.6104 3.8669 90.00 90.00 90.00
Closest atoms and distances in Å follow each position.
Space group P4/mmm (No. 123)
Inequivalent atoms, fractional coordinates:
Li1 0.0000 0.0000 0.0000 (multiplicity 1)  8 Ag 3.01, 4 Ca 3.26
Ca1 0.5000 0.5000 0.0000 (multiplicity 1)  8 Ag 3.01, 4 Li 3.26
Ag1 0.0000 0.5000 0.5000 (multiplicity 2)  4 Li 3.01, 4 Ca 3.01, 4 Ag 3.26

DFT formation energy ... -0.167 eV/atom
Distance to the lowest polymorph of the same formula ... 79 meV per atom

# 10
VASP calculation (SCAN) on a PBEsol-optimized structure of Sb6O13.

Lattice parameters (Å, degrees): 7.3292 7.3446 10.2400 90.00 90.89 90.00
Closest atoms and distances in Å follow each position.
Space group P2_1/m (No. 11)
Inequivalent atoms, fractional coordinates:
Sb1 0.0000 0.0000 0.0000 (multiplicity 2)  8 O 2.29-2.55
Sb2 0.0000 0.0000 0.5000 (multiplicity 2)  6 O 1.93-2.02
Sb3 0.2356 0.2500 0.2710 (multiplicity 2)  2 O 1.98-2.20
Sb4 0.2461 0.2500 0.7478 (multiplicity 2)  6 O 1.94-2.09
Sb5 0.2609 0.7500 0.2535 (multiplicity 2)  6 O 1.91-2.04
Sb6 0.5000 0.0000 0.0000 (multiplicity 2)  6 O 1.98-2.01
O1 0.0093 0.7500 0.1645 (multiplicity 2)  2 Sb 2.04-2.09
O2 0.0222 0.2500 0.4193 (multiplicity 2)  3 Sb 2.02-2.20
O3 0.0469 0.2500 0.1301 (multiplicity 2)  1 Sb 1.98
O4 0.1870 0.0499 0.6299 (multiplicity 4)  2 Sb 1.93-1.95
O5 0.1940 0.5455 0.3685 (multiplicity 4)  2 Sb 1.97-2.00
O6 0.2840 0.0573 0.8857 (multiplicity 4)  2 Sb 2.00-2.02
O7 0.2993 0.5476 0.1264 (multiplicity 4)  2 Sb 2.00-2.01
O8 0.4929 0.2500 0.6826 (multiplicity 2)  2 Sb 1.91-1.94
O9 0.4967 0.7500 0.9280 (multiplicity 2)  2 Sb 1.98

Total DFT energy (no corrections) ... -17.431 eV per atom

# 11
VASP calculation (SCAN) on a PBEsol-optimized structure of RbCd2Au2.

Lattice parameters (Å, degrees): 4.6140 4.6140 11.8732 90.00 90.00 90.00
Closest atoms and distances in Å follow each position.
Space group I4/mmm (No. 139)
Inequivalent atoms, fractional coordinates:
Rb1 0.0000 0.0000 0.0000 (multiplicity 2)  8 Au 3.53, 8 Cd 3.76
Cd1 0.0000 0.5000 0.2500 (multiplicity 4)  4 Au 2.82
Au1 0.0000 0.0000 0.3862 (multiplicity 4)  1 Au 2.70, 4 Cd 2.82

DFT formation energy ... -0.305 eV/atom
Distance to the lowest polymorph of the same formula ... 0 meV per atom

# 12
VASP calculation (SCAN) on a PBEsol-optimized structure of K2AgSb.

Lattice parameters (Å, degrees): 5.0096 5.0096 17.0359 90.00 90.00 120.00
Closest atoms and distances in Å follow each position.
Space group R3m (No. 160, hexagonal axes)
Inequivalent atoms, fractional coordinates:
K1 0.0000 0.0000 0.0000 (multiplicity 3)  4 Ag 3.45-3.81, 3 Sb 3.46, 4 K 3.49-3.73
K2 0.0000 0.0000 0.2190 (multiplicity 3)  3 Sb 3.42, 3 Ag 3.44, 4 K 3.49-3.73
Ag1 0.0000 0.0000 0.7766 (multiplicity 3)  3 Sb 2.89
Sb1 0.0000 0.0000 0.4450 (multiplicity 3)  3 Ag 2.89

Total DFT energy (no corrections) ... -21.695 eV per atom

| no. | D(E_F) (states/eV per cell) |
| --- | --- |
| 1 | 3.02 |
| 2 | 5.23 |
| 3 | 2.41 |
| 4 | 18.94 |
| 5 | 2.37 |
| 6 | 0.00 |
| 7 | 6.57 |
| 8 | 5.49 |
| 9 | 1.37 |
| 10 | 0.00 |
| 11 | 3.50 |
| 12 | 0.74 |